Record 1
Compound: LiNd2Ga
Source: Alexandria via LeMat-Bulk
Functional: PBEsol
Structure: relaxed

Lattice parameters (Å, degrees): 7.3142 7.3142 7.3142 90.00 90.00 90.00
Space group Fm-3m (No. 225)
Unique sites:
Li (0.0000, 0.0000, 0.0000) x4
Nd (0.2500, 0.2500, 0.2500) x8
Ga (0.0000, 0.0000, 0.5000) x4

## Properties
DFT formation energy in eV/atom: -0.2974
DFT total energy in eV for the cell shown: -67.318



Record 2
Compound: Be2ReMo
Source: Alexandria via LeMat-Bulk
Functional: PBEsol
Structure: relaxed

Lattice parameters (Å, degrees): 8.2313 2.6608 4.6422 90.00 100.52 90.00
Space group C2/m (No. 12)
Unique sites:
Be (0.2473, 0.0000, 0.2326) x4
Re (0.0000, 0.5000, 0.0000) x2
Mo (0.0000, 0.0000, 0.5000) x2

## Properties
DFT formation energy in eV/atom: 0.3053
DFT total energy in eV for the cell shown: -63.758
Polymorph energy (0 for the lowest one) in eV/atom: 0.521



Which formula does entry 2 have?
Be2ReMo



Which formula does entry 2 have?
Be2ReMo